Entry 1:
The following is a PBE calculation of crystalline Hf3TlIn at its relaxed geometry, from Alexandria.

Values from the calculation:
space-group type: Pm-3m
total magnetization: 0.0 μB/f.u.
density of states at the Fermi level: 4.95 states/eV/cell
offset from the most stable computed form: 1067.3 meV/atom
ΔE_f: 104 kJ/mol of atoms
energy: -5.916 eV/atom

abc: 5.2215 5.2215 5.2215
angles: 90.00 90.00 90.00
Positions (direct):
Hf: 0.0000 0.0000 0.5000
Hf: 0.0000 0.5000 0.0000
Hf: 0.5000 0.0000 0.0000
Tl: 0.5000 0.5000 0.5000
In: 0.0000 0.0000 0.0000

***

Entry 2:
The following is a PBE calculation of crystalline Hf4TlIn at its relaxed geometry, from Alexandria.

Values from the calculation:
space-group type: Cmmm
total magnetization: 0.0 μB/f.u.
density of states at the Fermi level: 9.53 states/eV/cell
offset from the most stable computed form: 0.0 meV/atom
ΔE_f: -8 kJ/mol of atoms
energy: -7.564 eV/atom

abc: 4.4723 14.0073 4.3275
angles: 90.00 90.00 90.00
Positions (direct):
Hf: 0.0000 0.1725 0.0000
Hf: 0.0000 0.3263 0.5000
Hf: 0.0000 0.6737 0.5000
Hf: 0.0000 0.8275 0.0000
Hf: 0.5000 0.1737 0.5000
Hf: 0.5000 0.3275 0.0000
Hf: 0.5000 0.6725 0.0000
Hf: 0.5000 0.8263 0.5000
Tl: 0.0000 0.0000 0.5000
Tl: 0.5000 0.5000 0.5000
In: 0.0000 0.5000 0.0000
In: 0.5000 0.0000 0.0000

***

Entry 3:
The following is a PBE calculation of crystalline HfTl3In at its relaxed geometry, from Alexandria.

Values from the calculation:
space-group type: Pm-3m
total magnetization: 0.0 μB/f.u.
density of states at the Fermi level: 5.36 states/eV/cell
offset from the most stable computed form: 0.0 meV/atom
ΔE_f: 50 kJ/mol of atoms
energy: -3.443 eV/atom

abc: 5.6586 5.6586 5.6586
angles: 90.00 90.00 90.00
Positions (direct):
Hf: 0.0000 0.0000 0.0000
Tl: 0.0000 0.0000 0.5000
Tl: 0.0000 0.5000 0.0000
Tl: 0.5000 0.0000 0.0000
In: 0.5000 0.5000 0.5000

***

Entry 4:
The following is a PBE calculation of crystalline Hf2Tl2In at its relaxed geometry, from Alexandria.

Values from the calculation:
space-group type: P4/mbm
total magnetization: 0.0 μB/f.u.
density of states at the Fermi level: 5.54 states/eV/cell
offset from the most stable computed form: 0.0 meV/atom
ΔE_f: 22 kJ/mol of atoms
energy: -5.243 eV/atom

abc: 8.3524 8.3524 3.5263
angles: 90.00 90.00 90.00
Positions (direct):
Hf: 0.1268 0.3732 0.0000
Hf: 0.3732 0.8732 0.0000
Hf: 0.6268 0.1268 0.0000
Hf: 0.8732 0.6268 0.0000
Tl: 0.1743 0.6743 0.5000
Tl: 0.3257 0.1743 0.5000
Tl: 0.6743 0.8257 0.5000
Tl: 0.8257 0.3257 0.5000
In: 0.0000 0.0000 0.0000
In: 0.5000 0.5000 0.0000

***

Entry 5:
The following is a PBE calculation of crystalline HfTl2In at its relaxed geometry, from Alexandria.

Values from the calculation:
space-group type: I-42d
total magnetization: 0.0 μB/f.u.
density of states at the Fermi level: 11.29 states/eV/cell
offset from the most stable computed form: 39.4 meV/atom
ΔE_f: 36 kJ/mol of atoms
energy: -3.978 eV/atom

abc: 8.1934 8.1934 6.2483
angles: 90.00 90.00 90.00
Positions (direct):
Hf: 0.0000 0.0000 0.0000
Hf: 0.0000 0.5000 0.2500
Hf: 0.5000 0.0000 0.7500
Hf: 0.5000 0.5000 0.5000
Tl: 0.2493 0.2500 0.1250
Tl: 0.2500 0.7493 0.3750
Tl: 0.2500 0.7507 0.8750
Tl: 0.2507 0.2500 0.6250
Tl: 0.7493 0.7500 0.6250
Tl: 0.7500 0.2493 0.8750
Tl: 0.7500 0.2507 0.3750
Tl: 0.7507 0.7500 0.1250
In: 0.0000 0.0000 0.5000
In: 0.0000 0.5000 0.7500
In: 0.5000 0.0000 0.2500
In: 0.5000 0.5000 0.0000

***

Entry 6:
The following is a PBE calculation of crystalline HfTl2In at its relaxed geometry, from Alexandria.

Values from the calculation:
space-group type: R-3m
total magnetization: 0.0 μB/f.u.
density of states at the Fermi level: 12.06 states/eV/cell
offset from the most stable computed form: 0.0 meV/atom
ΔE_f: 33 kJ/mol of atoms
energy: -4.018 eV/atom

abc: 3.2636 3.2636 36.1112
angles: 90.00 90.00 120.00
Positions (direct):
Hf: 0.0000 0.0000 0.0000
Hf: 0.3333 0.6667 0.6667
Hf: 0.6667 0.3333 0.3333
Tl: 0.0000 0.0000 0.0829
Tl: 0.0000 0.0000 0.9171
Tl: 0.3333 0.6667 0.5838
Tl: 0.3333 0.6667 0.7495
Tl: 0.6667 0.3333 0.2505
Tl: 0.6667 0.3333 0.4162
In: 0.0000 0.0000 0.5000
In: 0.3333 0.6667 0.1667
In: 0.6667 0.3333 0.8333

***

Entry 7:
The following is a PBE calculation of crystalline Hf2TlIn at its relaxed geometry, from Alexandria.

Values from the calculation:
space-group type: P4/mmm
total magnetization: 0.0 μB/f.u.
density of states at the Fermi level: 2.47 states/eV/cell
offset from the most stable computed form: 0.0 meV/atom
ΔE_f: -2 kJ/mol of atoms
energy: -6.270 eV/atom

abc: 3.1350 3.1350 8.9893
angles: 90.00 90.00 90.00
Positions (direct):
Hf: 0.0000 0.0000 0.2422
Hf: 0.0000 0.0000 0.7578
Tl: 0.5000 0.5000 0.5000
In: 0.5000 0.5000 0.0000

***

Entry 8:
The following is a PBE calculation of crystalline Hf7Tl2In2 at its relaxed geometry, from Alexandria.

Values from the calculation:
space-group type: Cmmm
total magnetization: 0.0 μB/f.u.
density of states at the Fermi level: 15.97 states/eV/cell
ΔE_f: 47 kJ/mol of atoms
energy: -6.775 eV/atom

abc: 6.0521 6.0521 8.5962
angles: 90.00 90.00 121.23
Positions (direct):
Hf: 0.0000 0.0000 0.0000
Hf: 0.0000 0.5000 0.3125
Hf: 0.0000 0.5000 0.6875
Hf: 0.5000 0.0000 0.3125
Hf: 0.5000 0.0000 0.6875
Hf: 0.5000 0.5000 0.1953
Hf: 0.5000 0.5000 0.8047
Tl: 0.2755 0.7245 0.0000
Tl: 0.7245 0.2755 0.0000
In: 0.2422 0.2422 0.5000
In: 0.7578 0.7578 0.5000

***

Entry 9:
The following is a PBE calculation of crystalline Hf2TlIn at its relaxed geometry, from Alexandria.

Values from the calculation:
space-group type: R-3m
total magnetization: 0.0 μB/f.u.
density of states at the Fermi level: 11.23 states/eV/cell
offset from the most stable computed form: 59.8 meV/atom
ΔE_f: 4 kJ/mol of atoms
energy: -6.210 eV/atom

abc: 3.2091 3.2091 30.7251
angles: 90.00 90.00 120.00
Positions (direct):
Hf: 0.0000 0.0000 0.2504
Hf: 0.0000 0.0000 0.7496
Hf: 0.3333 0.6667 0.4162
Hf: 0.3333 0.6667 0.9171
Hf: 0.6667 0.3333 0.0829
Hf: 0.6667 0.3333 0.5838
Tl: 0.0000 0.0000 0.5000
Tl: 0.3333 0.6667 0.1667
Tl: 0.6667 0.3333 0.8333
In: 0.0000 0.0000 0.0000
In: 0.3333 0.6667 0.6667
In: 0.6667 0.3333 0.3333

***

Entry 10:
The following is a PBE calculation of crystalline HfTl2In2 at its relaxed geometry, from Alexandria.

Values from the calculation:
space-group type: P4/mbm
total magnetization: 0.0 μB/f.u.
density of states at the Fermi level: 7.93 states/eV/cell
ΔE_f: 33 kJ/mol of atoms
energy: -3.689 eV/atom

abc: 8.0675 8.0675 4.0022
angles: 90.00 90.00 90.00
Positions (direct):
Hf: 0.0000 0.0000 0.0000
Hf: 0.5000 0.5000 0.0000
Tl: 0.1680 0.3320 0.5000
Tl: 0.3320 0.8320 0.5000
Tl: 0.6680 0.1680 0.5000
Tl: 0.8320 0.6680 0.5000
In: 0.1362 0.6362 0.0000
In: 0.3638 0.1362 0.0000
In: 0.6362 0.8638 0.0000
In: 0.8638 0.3638 0.0000

***

Entry 11:
The following is a PBE calculation of crystalline Hf7Tl3In at its relaxed geometry, from Alexandria.

Values from the calculation:
space-group type: C2/m
total magnetization: 0.0 μB/f.u.
density of states at the Fermi level: 10.55 states/eV/cell
ΔE_f: 24 kJ/mol of atoms
energy: -6.983 eV/atom

abc: 6.8248 6.8248 5.7523
angles: 92.60 92.60 83.01
Positions (direct):
Hf: 0.0000 0.0000 0.0000
Hf: 0.0768 0.4041 0.2674
Hf: 0.2598 0.2598 0.7667
Hf: 0.4041 0.0768 0.2674
Hf: 0.5959 0.9232 0.7326
Hf: 0.7402 0.7402 0.2333
Hf: 0.9232 0.5959 0.7326
Tl: 0.3215 0.6785 0.0000
Tl: 0.5000 0.5000 0.5000
Tl: 0.6785 0.3215 0.0000
In: 0.0000 0.0000 0.5000

***

Entry 12:
The following is a PBE calculation of crystalline Hf9Tl2In at its relaxed geometry, from Alexandria.

Values from the calculation:
space-group type: P4/mmm
total magnetization: 0.0 μB/f.u.
density of states at the Fermi level: 8.42 states/eV/cell
ΔE_f: -3 kJ/mol of atoms
energy: -8.123 eV/atom

abc: 4.4372 4.4372 13.3173
angles: 90.00 90.00 90.00
Positions (direct):
Hf: 0.0000 0.0000 0.0000
Hf: 0.0000 0.0000 0.3331
Hf: 0.0000 0.0000 0.6669
Hf: 0.0000 0.5000 0.1653
Hf: 0.0000 0.5000 0.5000
Hf: 0.0000 0.5000 0.8347
Hf: 0.5000 0.0000 0.1653
Hf: 0.5000 0.0000 0.5000
Hf: 0.5000 0.0000 0.8347
Tl: 0.5000 0.5000 0.3329
Tl: 0.5000 0.5000 0.6671
In: 0.5000 0.5000 0.0000